(1)
# Ba2CuBiH

Crystalline Ba2CuBiH at its relaxed geometry (PBE-GGA, Alexandria).

Summary:
- E_tot: -17.1 eV for the cell shown

Unit cell a=5.7184 b=5.7184 c=4.3876 alpha=90.00 beta=90.00 gamma=90.00
Last column: nearest neighbours and their distance in Å.
Sites, in units of the cell vectors:
Ba 0.0000 0.5000 0.0000  2 H 2.86
Ba 0.5000 0.0000 0.0000  2 H 2.86
Cu 0.0000 0.0000 0.5000  2 H 2.19
Bi 0.5000 0.5000 0.5000  8 Ba 3.60
H 0.0000 0.0000 0.0000  2 Cu 2.19

(2)
# PmCdPt2

Crystalline PmCdPt2 at its relaxed geometry (PBE-GGA, Alexandria).

Summary:
- Formation enthalpy at 0 K: -2.9 eV/f.u.
- Offset from the most stable computed form: 0.079 eV per atom

Unit cell a=4.7163 b=4.7163 c=3.6608 alpha=90.00 beta=90.00 gamma=90.00
Last column: nearest neighbours and their distance in Å.
Sites, in units of the cell vectors:
Pm 0.0000 0.0000 0.0000  8 Pt 2.99, 4 Cd 3.33
Cd 0.5000 0.5000 0.0000  8 Pt 2.99, 4 Pm 3.33
Pt 0.0000 0.5000 0.5000  4 Cd 2.99, 4 Pm 2.99, 4 Pt 3.33
Pt 0.5000 0.0000 0.5000  4 Cd 2.99, 4 Pm 2.99, 4 Pt 3.33